! Eu2CrInO6, optimized geometry, DFT GGA+U; values from VASP
&SYSTEM
  ibrav = 0, nat = 10, ntyp = 4
/
ATOMIC_SPECIES
O 16.00 O.upf
Eu 151.96 Eu.upf
In 114.82 In.upf
Cr 52.00 Cr.upf
CELL_PARAMETERS angstrom
0.0000 4.0116 4.0116
4.0116 0.0000 4.0116
4.0116 4.0116 0.0000
ATOMIC_POSITIONS angstrom
O 4.0116 4.0116 6.1079
Eu 2.0058 2.0058 2.0058
O 4.0116 6.1079 4.0116
O 6.1079 4.0116 4.0116
Eu 6.0174 6.0174 6.0174
In 4.0116 4.0116 4.0116
O 4.0116 1.9153 4.0116
O 4.0116 4.0116 1.9153
O 1.9153 4.0116 4.0116
Cr 0.0000 0.0000 0.0000
! * energy: -8.14 eV per atom
! * DOS(E_F): 1.23 states/eV/atom
! * total magnetic moment: 15.00 μB/f.u.
! * crystal system: cubic